## ZrNpRh5 (GGA-PBE)

Data for crystalline ZrNpRh5 at its relaxed geometry.

The space group is P4/mmm (No. 123) and the conventional cell measures 3.959, 3.959 and 7.683 Å, with angles of 90.00, 90.00 and 90.00 degrees. The inequivalent atoms are Zr at (0.000, 0.000, 0.000), Np at (0.500, 0.500, 0.500), Rh at (0.000, 0.500, 0.268) and Rh at (0.500, 0.500, 0.000).

The calculation puts the formation energy from the elements at -0.42 eV/atom. Its crystal system is tetragonal. For the density of states at the Fermi level, the calculation gives 1.29 states/eV per atom.

## Be2FeBr (GGA-PBE)

Data for crystalline Be2FeBr at its relaxed geometry.

The space group is P3m1 (No. 156) and the conventional cell measures 3.5102, 3.5102 and 5.2884 Å, with angles of 90.00, 90.00 and 120.00 degrees. The inequivalent atoms are Be at (0.0000, 0.0000, 0.0000), Be at (0.3333, 0.6667, 0.9235), Fe at (0.6667, 0.3333, 0.7646) and Br at (0.0000, 0.0000, 0.4349).

The raw formation energy comes out at 104 kJ/mol of formula units. The relative energy among the computed polymorphs is 0 meV/atom. Its crystal system is trigonal. For the density of states at the Fermi level, the calculation gives 1.06 states/eV per atom.

## CrRu3 (GGA-PBE)

Data for crystalline CrRu3 at its relaxed geometry.

The space group is R-3m (No. 166, hexagonal axes) and the conventional cell measures 8.5324, 8.5324 and 2.6680 Å, with angles of 90.00, 90.00 and 120.00 degrees. The inequivalent atoms are Cr at (0.0000, 0.0000, 0.0000) and Ru at (0.0000, 0.5000, 0.0000).

The calculation puts the formation energy from the elements at 0.46 eV/atom. Its crystal system is trigonal. For the density of states at the Fermi level, the calculation gives 1.92 states/eV per atom.

## Tb3Dy3Ho (GGA-PBE)

Data for crystalline Tb3Dy3Ho at its relaxed geometry.

The space group is P6_3/m (No. 176) and the conventional cell measures 9.5321, 9.5321 and 5.6508 Å, with angles of 90.00, 90.00 and 120.00 degrees. The inequivalent atoms are Tb at (0.0476, 0.8087, 0.2500), Dy at (0.0951, 0.6189, 0.7500) and Ho at (0.3333, 0.6667, 0.2500).

The calculation puts the formation energy from the elements at 0.01 eV/atom. The relative energy among the computed polymorphs is 0 meV/atom. Its crystal system is hexagonal. For the density of states at the Fermi level, the calculation gives 2.01 states/eV per atom.

## CeEuBiPd (GGA-PBE)

Data for crystalline CeEuBiPd at its relaxed geometry.

The space group is F-43m (No. 216) and the conventional cell measures 7.656, 7.656 and 7.656 Å, with angles of 90.00, 90.00 and 90.00 degrees. The inequivalent atoms are Ce at (0.000, 0.000, 0.000), Eu at (0.000, 0.000, 0.500), Bi at (0.250, 0.250, 0.750) and Pd at (0.250, 0.250, 0.250).

The calculation puts the formation energy from the elements at -0.62 eV/atom. Its crystal system is cubic. For the density of states at the Fermi level, the calculation gives 2.23 states/eV per atom.

## KGaSb2 (GGA-PBE)

Data for crystalline KGaSb2 at its relaxed geometry.

The space group is R-3m (No. 166, hexagonal axes) and the conventional cell measures 3.8050, 3.8050 and 31.1405 Å, with angles of 90.00, 90.00 and 120.00 degrees. The inequivalent atoms are K at (0.0000, 0.0000, 0.0000), Ga at (0.0000, 0.0000, 0.5000) and Sb at (0.0000, 0.0000, 0.1083).

The raw formation energy comes out at 34 kJ/mol of formula units. Its crystal system is trigonal. For the density of states at the Fermi level, the calculation gives 0.34 states/eV per atom.

## MnHgI3 (GGA-PBE)

Data for crystalline MnHgI3 at its relaxed geometry.

The space group is R3m (No. 160, hexagonal axes) and the conventional cell measures 8.7833, 8.7833 and 13.0368 Å, with angles of 90.00, 90.00 and 120.00 degrees. The inequivalent atoms are Mn at (0.0000, 0.0000, 0.0000), Hg at (0.0000, 0.0000, 0.2101) and I at (0.1705, 0.3410, 0.0195).

The raw formation energy comes out at -91 kJ/mol of formula units. The relative energy among the computed polymorphs is 157 meV/atom. Its crystal system is trigonal. For the density of states at the Fermi level, the calculation gives 0.25 states/eV per atom.

## Rb2SrPdI6 (GGA-PBE)

Data for crystalline Rb2SrPdI6 at its relaxed geometry.

The space group is I4/mmm (No. 139) and the conventional cell measures 8.576, 8.576 and 12.166 Å, with angles of 90.00, 90.00 and 90.00 degrees. The inequivalent atoms are Rb at (0.000, 0.500, 0.250), Sr at (0.000, 0.000, 0.000), Pd at (0.000, 0.000, 0.500), I at (0.000, 0.000, 0.265) and I at (0.234, 0.234, 0.500).

The raw formation energy comes out at -1000 kJ/mol of formula units. Its crystal system is tetragonal. For the density of states at the Fermi level, the calculation gives 0.26 states/eV per atom.

## LaI (GGA-PBE)

Data for crystalline LaI at its relaxed geometry.

The space group is Fm-3m (No. 225) and the conventional cell measures 6.454, 6.454 and 6.454 Å, with angles of 90.00, 90.00 and 90.00 degrees. The inequivalent atoms are La at (0.000, 0.000, 0.000) and I at (0.000, 0.000, 0.500).

The raw formation energy comes out at -180 kJ/mol of formula units. Its crystal system is cubic. For the density of states at the Fermi level, the calculation gives 0.51 states/eV per atom.

## BaTl9Ag2 (GGA-PBE)

Data for crystalline BaTl9Ag2 at its relaxed geometry.

The space group is I4_1/amd (No. 141, origin choice 2) and the conventional cell measures 13.239, 13.239 and 8.196 Å, with angles of 90.00, 90.00 and 90.00 degrees. The inequivalent atoms are Ba at (0.000, 0.250, 0.375), Tl at (0.000, 0.250, 0.875), Tl at (0.123, 0.060, 0.673) and Ag at (0.000, 0.000, 0.000).

The calculation puts the formation energy from the elements at -0.05 eV/atom. Its crystal system is tetragonal. For the density of states at the Fermi level, the calculation gives 0.45 states/eV per atom.

## Ru2WSe (GGA-PBE)

Data for crystalline Ru2WSe at its relaxed geometry.

The space group is Imm2 (No. 44) and the conventional cell measures 2.984, 4.438 and 9.010 Å, with angles of 90.00, 90.00 and 90.00 degrees. The inequivalent atoms are Ru at (0.000, 0.000, 0.000), Ru at (0.000, 0.500, 0.219), W at (0.000, 0.000, 0.450) and Se at (0.000, 0.500, 0.717).

The raw formation energy comes out at 92 kJ/mol of formula units. Its crystal system is orthorhombic. For the density of states at the Fermi level, the calculation gives 0.43 states/eV per atom.

## Ca3Zn2 (GGA-PBE)

Data for crystalline Ca3Zn2 at its relaxed geometry.

The space group is Fdd2 (No. 43) and the conventional cell measures 10.615, 15.619 and 7.029 Å, with angles of 90.00, 90.00 and 90.00 degrees. The inequivalent atoms are Ca at (0.000, 0.000, 0.000), Ca at (0.058, 0.105, 0.536) and Zn at (0.023, 0.201, 0.952).

The calculation puts the formation energy from the elements at -0.04 eV/atom. Its crystal system is orthorhombic. For the density of states at the Fermi level, the calculation gives 0.60 states/eV per atom.

## Na2ZnGe4Pd3 (GGA-PBE)

Data for crystalline Na2ZnGe4Pd3 at its relaxed geometry.

The space group is P-4m2 (No. 115) and the conventional cell measures 4.259, 4.259 and 10.632 Å, with angles of 90.00, 90.00 and 90.00 degrees. The inequivalent atoms are Na at (0.000, 0.500, 0.247), Zn at (0.500, 0.500, 0.000), Ge at (0.000, 0.000, 0.500), Ge at (0.000, 0.500, 0.867), Ge at (0.500, 0.500, 0.500), Pd at (0.000, 0.000, 0.000) and Pd at (0.000, 0.500, 0.633).

The calculation puts the formation energy from the elements at -0.28 eV/atom. Its crystal system is tetragonal. For the density of states at the Fermi level, the calculation gives 0.56 states/eV per atom.

## Zr6CuHg2 (GGA-PBE)

Data for crystalline Zr6CuHg2 at its relaxed geometry.

The space group is C2/m (No. 12) and the conventional cell measures 14.717, 6.688 and 4.669 Å, with angles of 90.00, 108.34 and 90.00 degrees. The inequivalent atoms are Zr at (0.000, 0.235, 0.000), Zr at (0.158, 0.241, 0.658), Cu at (0.000, 0.000, 0.500) and Hg at (0.168, 0.500, 0.169).

The calculation puts the formation energy from the elements at 0.30 eV/atom. Its crystal system is monoclinic. For the density of states at the Fermi level, the calculation gives 1.48 states/eV per atom.

## Zr4NpAs5 (GGA-PBE)

Data for crystalline Zr4NpAs5 at its relaxed geometry.

The space group is Immm (No. 71) and the conventional cell measures 3.898, 5.532 and 19.660 Å, with angles of 90.00, 90.00 and 90.00 degrees. The inequivalent atoms are Zr at (0.000, 0.000, 0.102), Zr at (0.000, 0.000, 0.299), Np at (0.000, 0.000, 0.500), As at (0.000, 0.500, 0.104), As at (0.000, 0.500, 0.300) and As at (0.000, 0.500, 0.500).

The calculation puts the formation energy from the elements at -1.03 eV/atom. Its crystal system is orthorhombic. For the density of states at the Fermi level, the calculation gives 0.92 states/eV per atom.

## Tl3ZnOs (GGA-PBE)

Data for crystalline Tl3ZnOs at its relaxed geometry.

The space group is Pm-3m (No. 221) and the conventional cell measures 5.201, 5.201 and 5.201 Å, with angles of 90.00, 90.00 and 90.00 degrees. The inequivalent atoms are Tl at (0.000, 0.000, 0.500), Zn at (0.000, 0.000, 0.000) and Os at (0.500, 0.500, 0.500).

The calculation puts the formation energy from the elements at 1.36 eV/atom. The relative energy among the computed polymorphs is 858 meV/atom. Its crystal system is cubic. For the density of states at the Fermi level, the calculation gives 1.10 states/eV per atom.

## HgGe2Pd (GGA-PBE)

Data for crystalline HgGe2Pd at its relaxed geometry.

The space group is R3m (No. 160, hexagonal axes) and the conventional cell measures 4.2347, 4.2347 and 16.5324 Å, with angles of 90.00, 90.00 and 120.00 degrees. The inequivalent atoms are Hg at (0.0000, 0.0000, 0.0000), Ge at (0.0000, 0.0000, 0.5671), Ge at (0.0000, 0.0000, 0.7922) and Pd at (0.0000, 0.0000, 0.1718).

The calculation puts the formation energy from the elements at 0.00 eV/atom. Its crystal system is trigonal. For the density of states at the Fermi level, the calculation gives 0.58 states/eV per atom.

## La2MnOs (GGA-PBE)

Data for crystalline La2MnOs at its relaxed geometry.

The space group is C2/m (No. 12) and the conventional cell measures 7.641, 3.435 and 8.178 Å, with angles of 90.00, 98.29 and 90.00 degrees. The inequivalent atoms are La at (0.248, 0.000, 0.214), Mn at (0.000, 0.000, 0.500) and Os at (0.000, 0.500, 0.000).

The calculation puts the formation energy from the elements at 0.41 eV/atom. The relative energy among the computed polymorphs is 417 meV/atom. Its crystal system is monoclinic. For the density of states at the Fermi level, the calculation gives 0.96 states/eV per atom.

## Ca2MgPN4 (GGA-PBE)

Data for crystalline Ca2MgPN4 at its relaxed geometry.

The space group is Fddd (No. 70, origin choice 2) and the conventional cell measures 4.730, 10.524 and 18.967 Å, with angles of 90.00, 90.00 and 90.00 degrees. The inequivalent atoms are Ca at (0.125, 0.125, 0.310), Mg at (0.125, 0.125, 0.125), P at (0.125, 0.125, 0.625) and N at (0.073, 0.273, 0.829).

The raw formation energy comes out at -307 kJ/mol of formula units. Its crystal system is orthorhombic. For the density of states at the Fermi level, the calculation gives 0.67 states/eV per atom.

## AlInTe2 (GGA-PBE)

Data for crystalline AlInTe2 at its relaxed geometry.

The space group is I-42d (No. 122) and the conventional cell measures 7.833, 7.833 and 9.041 Å, with angles of 90.00, 90.00 and 90.00 degrees. The inequivalent atoms are Al at (0.000, 0.000, 0.000), In at (0.000, 0.000, 0.500) and Te at (0.176, 0.750, 0.125).

The raw formation energy comes out at -119 kJ/mol of formula units. Its crystal system is tetragonal. For the density of states at the Fermi level, the calculation gives 0.00 states/eV per atom.

## KCd2AgRh (GGA-PBE)

Data for crystalline KCd2AgRh at its relaxed geometry.

The space group is P4/mmm (No. 123) and the conventional cell measures 5.208, 5.208 and 5.311 Å, with angles of 90.00, 90.00 and 90.00 degrees. The inequivalent atoms are K at (0.000, 0.000, 0.000), Cd at (0.000, 0.500, 0.500), Ag at (0.500, 0.500, 0.000) and Rh at (0.500, 0.500, 0.500).

The calculation puts the formation energy from the elements at 0.08 eV/atom. Its crystal system is tetragonal. For the density of states at the Fermi level, the calculation gives 0.17 states/eV per atom.

## Y4NO4 (GGA-PBE)

Data for crystalline Y4NO4 at its relaxed geometry.

The space group is I-42m (No. 121) and the conventional cell measures 5.557, 5.557 and 10.177 Å, with angles of 90.00, 90.00 and 90.00 degrees. The inequivalent atoms are Y at (0.220, 0.220, 0.379), N at (0.000, 0.000, 0.500), O at (0.000, 0.000, 0.221) and O at (0.000, 0.500, 0.000).

The raw formation energy comes out at -2335 kJ/mol of formula units. Its crystal system is tetragonal. For the density of states at the Fermi level, the calculation gives 0.26 states/eV per atom.

## Nd4SnGeC (GGA-PBE)

Data for crystalline Nd4SnGeC at its relaxed geometry.

The space group is Cmcm (No. 63) and the conventional cell measures 7.004, 16.208 and 7.006 Å, with angles of 90.00, 90.00 and 90.00 degrees. The inequivalent atoms are Nd at (0.000, 0.080, 0.250), Nd at (0.000, 0.413, 0.250), Nd at (0.250, 0.250, 0.000), Sn at (0.000, 0.390, 0.750), Ge at (0.000, 0.115, 0.750) and C at (0.000, 0.248, 0.250).

The calculation puts the formation energy from the elements at -0.49 eV/atom. Its crystal system is orthorhombic. For the density of states at the Fermi level, the calculation gives 0.17 states/eV per atom.

## BaH6Ir (GGA-PBE)

Data for crystalline BaH6Ir at its relaxed geometry.

The space group is C2/c (No. 15) and the conventional cell measures 7.387, 5.118 and 9.671 Å, with angles of 90.00, 107.52 and 90.00 degrees. The inequivalent atoms are Ba at (0.000, 0.235, 0.250), H at (0.073, 0.472, 0.008), H at (0.168, 0.231, 0.818), H at (0.176, 0.048, 0.532) and Ir at (0.250, 0.250, 0.000).

The relative energy among the computed polymorphs is 0 meV/atom. Its crystal system is monoclinic. For the density of states at the Fermi level, the calculation gives 0.16 states/eV per atom.